## Y2RuPb2 (PBE)

Data for Y2RuPb2 after structural relaxation.

```
data_Y2RuPb2
_space_group_name_H-M_alt 'P 4/m b m'
_space_group_IT_number 127
_space_group_name_Hall '-P 4 2ab'
_cell_length_a 7.348
_cell_length_b 7.348
_cell_length_c 4.644
_cell_angle_alpha 90.00
_cell_angle_beta 90.00
_cell_angle_gamma 90.00
loop_
_atom_site_label
_atom_site_fract_x
_atom_site_fract_y
_atom_site_fract_z
Y1 0.170 0.330 0.000
Ru1 0.000 0.000 0.500
Pb1 0.145 0.645 0.500
```



# Li2LaY | the Alexandria database | PBE | optimized geometry
# Offset from the most stable computed form (eV/atom): 0.072
data_Li2LaY
_space_group_name_H-M_alt 'C 1 m 1'
_space_group_IT_number 8
_space_group_name_Hall 'C -2y'
_cell_length_a 12.138
_cell_length_b 3.558
_cell_length_c 5.517
_cell_angle_alpha 90.00
_cell_angle_beta 114.55
_cell_angle_gamma 90.00
loop_
_atom_site_label
_atom_site_fract_x
_atom_site_fract_y
_atom_site_fract_z
Li1 0.000 0.000 0.000
Li2 0.186 0.500 0.217
La1 0.450 0.000 0.457
Y1 0.238 0.000 0.766



# La2Pm8Er | the Alexandria database | PBE | optimized geometry
# Offset from the most stable computed form (eV/atom): 0.000
data_La2Pm8Er
_space_group_name_H-M_alt 'C 1 2/m 1'
_space_group_IT_number 12
_space_group_name_Hall '-C 2y'
_cell_length_a 18.633
_cell_length_b 5.177
_cell_length_c 8.176
_cell_angle_alpha 90.00
_cell_angle_beta 105.25
_cell_angle_gamma 90.00
loop_
_atom_site_label
_atom_site_fract_x
_atom_site_fract_y
_atom_site_fract_z
La1 0.227 0.000 0.137
Pm1 0.044 0.000 0.229
Pm2 0.089 0.500 0.951
Pm3 0.135 0.000 0.677
Pm4 0.180 0.500 0.408
Er1 0.000 0.500 0.500



## Y3Ga2Pt (PBE)

Data for Y3Ga2Pt after structural relaxation.

```
data_Y3Ga2Pt
_space_group_name_H-M_alt 'P n m a'
_space_group_IT_number 62
_space_group_name_Hall '-P 2ac 2n'
_cell_length_a 11.774
_cell_length_b 4.396
_cell_length_c 11.129
_cell_angle_alpha 90.00
_cell_angle_beta 90.00
_cell_angle_gamma 90.00
loop_
_atom_site_label
_atom_site_fract_x
_atom_site_fract_y
_atom_site_fract_z
Y1 0.049 0.250 0.128
Y2 0.120 0.750 0.563
Y3 0.222 0.250 0.809
Ga1 0.014 0.750 0.306
Ga2 0.188 0.750 0.014
Pt1 0.125 0.250 0.381
```



Number 1: E_form -0.23 eV/atom, density 9.18 Mg/m³. Number 2: E_form 0.14 eV/atom, density 3.70 Mg/m³. Number 3: E_form 0.02 eV/atom, density 7.01 Mg/m³. Number 4: E_form -0.81 eV/atom, density 6.93 Mg/m³.